1.
PuMn2HgO8: optimized geometry, PBE+U.

Results
The value obtained for the final energy is -6.938 eV per atom. Its crystal system is tetragonal.

Unit cell a=6.020 b=6.020 c=6.020 alpha=106.89 beta=106.89 gamma=114.77
Fractional coordinates of all 12 atoms:
Pu 0.000 0.000 0.000
Mn 0.500 0.500 0.000
Mn 0.750 0.250 0.500
Hg 0.250 0.750 0.500
O 0.295 0.121 0.826
O 0.295 0.469 0.174
O 0.406 0.095 0.310
O 0.531 0.705 0.826
O 0.785 0.095 0.690
O 0.879 0.705 0.174
O 0.905 0.215 0.310
O 0.905 0.594 0.690

---

2.
PuMn2HgO6: optimized geometry, PBE+U.

Results
The value obtained for the final energy is -7.636 eV per atom. Its crystal system is trigonal.

Unit cell a=5.952 b=5.952 c=5.952 alpha=55.81 beta=55.81 gamma=55.81
Fractional coordinates of all 10 atoms:
Pu 0.000 0.000 0.000
Mn 0.310 0.310 0.310
Mn 0.794 0.794 0.794
Hg 0.521 0.521 0.521
O 0.075 0.398 0.721
O 0.175 0.946 0.603
O 0.398 0.721 0.075
O 0.603 0.175 0.946
O 0.721 0.075 0.398
O 0.946 0.603 0.175

---

3.
PuMnHg2O6: optimized geometry, PBE+U.

Results
The value obtained for the final energy is -6.640 eV per atom. Its crystal system is trigonal.

Unit cell a=5.889 b=5.889 c=5.889 alpha=57.73 beta=57.73 gamma=57.73
Fractional coordinates of all 10 atoms:
Pu 0.000 0.000 0.000
Mn 0.500 0.500 0.500
Hg 0.244 0.244 0.244
Hg 0.756 0.756 0.756
O 0.143 0.352 0.756
O 0.244 0.857 0.648
O 0.352 0.756 0.143
O 0.648 0.244 0.857
O 0.756 0.143 0.352
O 0.857 0.648 0.244

---

4.
MnHgRu2O: optimized geometry, PBE+U.

Results
The value obtained for the final energy is -6.120 eV per atom. Its crystal system is tetragonal.

Unit cell a=4.154 b=4.154 c=4.244 alpha=90.00 beta=90.00 gamma=90.00
Fractional coordinates of all 5 atoms:
Mn 0.000 0.000 0.000
Hg 0.500 0.500 0.000
Ru 0.000 0.500 0.500
Ru 0.500 0.000 0.500
O 0.000 0.000 0.500

---

5.
MnHgS2O8: optimized geometry, PBE+U.

Results
The value obtained for the final energy is -5.847 eV per atom. Its crystal system is trigonal.

Unit cell a=7.708 b=7.708 c=7.708 alpha=36.72 beta=36.72 gamma=36.72
Fractional coordinates of all 12 atoms:
Mn 0.000 0.000 0.000
Hg 0.500 0.500 0.500
S 0.249 0.249 0.249
S 0.751 0.751 0.751
O 0.022 0.439 0.728
O 0.179 0.179 0.179
O 0.272 0.978 0.561
O 0.439 0.728 0.022
O 0.561 0.272 0.978
O 0.728 0.022 0.439
O 0.821 0.821 0.821
O 0.978 0.561 0.272

---

6.
Mn2HgSeO: optimized geometry, PBE+U.

Results
The value obtained for the final energy is -4.248 eV per atom. Its crystal system is tetragonal.

Unit cell a=5.325 b=5.325 c=4.150 alpha=90.00 beta=90.00 gamma=90.00
Fractional coordinates of all 5 atoms:
Mn 0.000 0.500 0.000
Mn 0.500 0.000 0.000
Hg 0.000 0.000 0.000
Se 0.500 0.500 0.500
O 0.000 0.000 0.500

---

7.
Mn2SnHgO: optimized geometry, PBE+U.

Results
The value obtained for the final energy is -4.479 eV per atom. Its crystal system is tetragonal.

Unit cell a=5.598 b=5.598 c=4.304 alpha=90.00 beta=90.00 gamma=90.00
Fractional coordinates of all 5 atoms:
Mn 0.000 0.500 0.000
Mn 0.500 0.000 0.000
Sn 0.000 0.000 0.000
Hg 0.500 0.500 0.500
O 0.000 0.000 0.500

---

8.
MnTc2HgO8: optimized geometry, PBE+U.

Results
The value obtained for the final energy is -7.029 eV per atom. Its crystal system is monoclinic.

Unit cell a=5.938 b=5.938 c=8.368 alpha=90.34 beta=90.34 gamma=60.13
Fractional coordinates of all 12 atoms:
Mn 0.000 0.000 0.000
Tc 0.336 0.336 0.215
Tc 0.664 0.664 0.785
Hg 0.000 0.000 0.500
O 0.175 0.175 0.144
O 0.175 0.659 0.149
O 0.334 0.334 0.419
O 0.341 0.825 0.851
O 0.659 0.175 0.149
O 0.666 0.666 0.581
O 0.825 0.341 0.851
O 0.825 0.825 0.856

---

9.
TiMn2HgO: optimized geometry, PBE+U.

Results
The value obtained for the final energy is -4.195 eV per atom. Its crystal system is tetragonal.

Unit cell a=5.158 b=5.158 c=5.168 alpha=90.00 beta=90.00 gamma=90.00
Fractional coordinates of all 5 atoms:
Ti 0.000 0.000 0.000
Mn 0.000 0.500 0.000
Mn 0.500 0.000 0.000
Hg 0.000 0.000 0.500
O 0.500 0.500 0.500

---

10.
UMnHgO6: optimized geometry, PBE+U.

Results
The value obtained for the final energy is -7.248 eV per atom. Its crystal system is monoclinic.

Unit cell a=5.484 b=5.484 c=5.194 alpha=94.83 beta=94.83 gamma=121.99
Fractional coordinates of all 9 atoms:
U 0.000 0.000 0.000
Mn 0.338 0.662 0.000
Hg 0.689 0.311 0.500
O 0.013 0.652 0.786
O 0.082 0.380 0.205
O 0.269 0.319 0.794
O 0.348 0.987 0.214
O 0.620 0.918 0.795
O 0.681 0.731 0.206

---

11.
UMn2HgO8: optimized geometry, PBE+U.

Results
The value obtained for the final energy is -7.127 eV per atom. Its crystal system is monoclinic.

Unit cell a=4.880 b=6.282 c=4.889 alpha=90.00 beta=90.14 gamma=90.00
Fractional coordinates of all 12 atoms:
U 0.000 0.000 0.000
Mn 0.500 0.253 0.500
Mn 0.500 0.747 0.500
Hg 0.000 0.500 0.000
O 0.222 0.223 0.220
O 0.222 0.777 0.220
O 0.310 0.000 0.688
O 0.331 0.500 0.666
O 0.669 0.500 0.334
O 0.690 0.000 0.312
O 0.778 0.223 0.780
O 0.778 0.777 0.780

---

12.
MnVHgO6: optimized geometry, PBE+U.

Results
The value obtained for the final energy is -6.102 eV per atom. Its crystal system is monoclinic.

Unit cell a=5.033 b=5.033 c=4.838 alpha=93.25 beta=93.25 gamma=118.05
Fractional coordinates of all 9 atoms:
Mn 0.000 0.000 0.000
V 0.325 0.675 0.000
Hg 0.666 0.334 0.500
O 0.025 0.320 0.782
O 0.071 0.732 0.218
O 0.268 0.929 0.782
O 0.313 0.349 0.212
O 0.651 0.687 0.788
O 0.680 0.975 0.218

---

13.
ZrMnHgO2: optimized geometry, PBE+U.

Results
The value obtained for the final energy is -6.351 eV per atom. Its crystal system is tetragonal.

Unit cell a=4.091 b=4.091 c=6.390 alpha=90.00 beta=90.00 gamma=90.00
Fractional coordinates of all 5 atoms:
Zr 0.000 0.000 0.000
Mn 0.000 0.000 0.500
Hg 0.500 0.500 0.500
O 0.000 0.500 0.000
O 0.500 0.000 0.000